No. 1
A relaxed structure of InPHS2. Source: Alexandria via LeMat-Bulk, functional PBE-GGA.

Computed properties:
Crystal system ... tetragonal
Total magnetization ... 3.7 μB/cell
ρ ... 2.46 g cm⁻³
Raw total energy ... -2.700 eV per atom

CIF file:
```
data_InPHS2
_symmetry_space_group_name_H-M 'P 4/m m m'
_symmetry_Int_Tables_number 123
_symmetry_space_group_name_Hall '-P 4 2'
_cell_length_a 5.1861
_cell_length_b 5.1861
_cell_length_c 5.2838
_cell_angle_alpha 90.00
_cell_angle_beta 90.00
_cell_angle_gamma 90.00
loop_
_atom_site_label
_atom_site_type_symbol
_atom_site_fract_x
_atom_site_fract_y
_atom_site_fract_z
_atom_site_occupancy
In1 In 0.0000 0.0000 0.0000 1
P1 P 0.0000 0.0000 0.5000 1
H1 H 0.5000 0.5000 0.5000 1
S1 S 0.0000 0.5000 0.0000 1
```



No. 2
A relaxed structure of InP2HS. Source: Alexandria via LeMat-Bulk, functional PBE-GGA.

Computed properties:
Crystal system ... tetragonal
Total magnetization ... 0.0 μB/cell
ρ ... 3.45 g cm⁻³
Raw total energy ... -3.724 eV per atom

CIF file:
```
data_InP2HS
_symmetry_space_group_name_H-M 'P 4/m m m'
_symmetry_Int_Tables_number 123
_symmetry_space_group_name_Hall '-P 4 2'
_cell_length_a 3.6710
_cell_length_b 3.6710
_cell_length_c 7.4979
_cell_angle_alpha 90.00
_cell_angle_beta 90.00
_cell_angle_gamma 90.00
loop_
_atom_site_label
_atom_site_type_symbol
_atom_site_fract_x
_atom_site_fract_y
_atom_site_fract_z
_atom_site_occupancy
In1 In 0.0000 0.0000 0.0000 1
P1 P 0.0000 0.5000 0.5000 1
H1 H 0.5000 0.5000 0.5000 1
S1 S 0.5000 0.5000 0.0000 1
```



No. 3
A relaxed structure of InPH2S4. Source: Alexandria via LeMat-Bulk, functional PBE-GGA.

Computed properties:
Crystal system ... triclinic
Total magnetization ... 0.0 μB/cell
ρ ... 2.36 g cm⁻³
Raw total energy ... -4.157 eV per atom

CIF file:
```
data_InPH2S4
_symmetry_space_group_name_H-M 'P 1'
_symmetry_Int_Tables_number 1
_cell_length_a 4.8199
_cell_length_b 6.4003
_cell_length_c 6.9437
_cell_angle_alpha 76.93
_cell_angle_beta 78.80
_cell_angle_gamma 69.90
loop_
_symmetry_equiv_pos_as_xyz
'x,y,z'
loop_
_atom_site_label
_atom_site_type_symbol
_atom_site_fract_x
_atom_site_fract_y
_atom_site_fract_z
_atom_site_occupancy
In1 In 0.0000 0.0000 0.0000 1
P1 P 0.3578 0.4017 0.7709 1
H1 H 0.5193 0.7807 0.6557 1
H2 H 0.9466 0.5914 0.2451 1
S1 S 0.2459 0.2621 0.0695 1
S2 S 0.4833 0.6780 0.8493 1
S3 S 0.7749 0.1759 0.6837 1
S4 S 0.8902 0.7810 0.3225 1
```



No. 4
A relaxed structure of InPHS2. Source: Alexandria via LeMat-Bulk, functional PBE-GGA.

Computed properties:
Crystal system ... tetragonal
Total magnetization ... 0.0 μB/cell
ρ ... 4.55 g cm⁻³
Raw total energy ... -3.446 eV per atom

CIF file:
```
data_InPHS2
_symmetry_space_group_name_H-M 'P 4/m m m'
_symmetry_Int_Tables_number 123
_symmetry_space_group_name_Hall '-P 4 2'
_cell_length_a 4.8202
_cell_length_b 4.8202
_cell_length_c 3.3145
_cell_angle_alpha 90.00
_cell_angle_beta 90.00
_cell_angle_gamma 90.00
loop_
_atom_site_label
_atom_site_type_symbol
_atom_site_fract_x
_atom_site_fract_y
_atom_site_fract_z
_atom_site_occupancy
In1 In 0.0000 0.0000 0.0000 1
P1 P 0.5000 0.5000 0.0000 1
H1 H 0.5000 0.5000 0.5000 1
S1 S 0.0000 0.5000 0.5000 1
```



No. 5
A relaxed structure of SrInPH. Source: Alexandria via LeMat-Bulk, functional PBE-GGA.

Computed properties:
Crystal system ... hexagonal
Total magnetization ... 0.0 μB/cell
ρ ... 4.31 g cm⁻³
Raw total energy ... -3.710 eV per atom

CIF file:
```
data_SrInPH
_symmetry_space_group_name_H-M 'P 63 m c'
_symmetry_Int_Tables_number 186
_symmetry_space_group_name_Hall 'P 6c -2c'
_cell_length_a 4.5752
_cell_length_b 4.5752
_cell_length_c 9.9696
_cell_angle_alpha 90.00
_cell_angle_beta 90.00
_cell_angle_gamma 120.00
loop_
_atom_site_label
_atom_site_type_symbol
_atom_site_fract_x
_atom_site_fract_y
_atom_site_fract_z
_atom_site_occupancy
Sr1 Sr 0.3333 0.6667 0.0000 1
In1 In 0.0000 0.0000 0.2624 1
P1 P 0.3333 0.6667 0.3111 1
H1 H 0.0000 0.0000 0.0676 1
```



No. 6
A relaxed structure of ZnInP2H. Source: Alexandria via LeMat-Bulk, functional PBE-GGA.

Computed properties:
Crystal system ... tetragonal
Total magnetization ... 0.0 μB/cell
ρ ... 5.18 g cm⁻³
Raw total energy ... -3.030 eV per atom

CIF file:
```
data_ZnInP2H
_symmetry_space_group_name_H-M 'P 4/m m m'
_symmetry_Int_Tables_number 123
_symmetry_space_group_name_Hall '-P 4 2'
_cell_length_a 3.9386
_cell_length_b 3.9386
_cell_length_c 5.0284
_cell_angle_alpha 90.00
_cell_angle_beta 90.00
_cell_angle_gamma 90.00
loop_
_atom_site_label
_atom_site_type_symbol
_atom_site_fract_x
_atom_site_fract_y
_atom_site_fract_z
_atom_site_occupancy
Zn1 Zn 0.0000 0.0000 0.0000 1
In1 In 0.5000 0.5000 0.0000 1
P1 P 0.0000 0.5000 0.5000 1
H1 H 0.5000 0.5000 0.5000 1
```



No. 7
A relaxed structure of Pa3In5H12. Source: Alexandria via LeMat-Bulk, functional PBE-GGA.

Computed properties:
Crystal system ... cubic
Total magnetization ... 0.0 μB/cell
ρ ... 8.18 g cm⁻³
Raw total energy ... -4.075 eV per atom

CIF file:
```
data_Pa3In5H12
_symmetry_space_group_name_H-M 'I a -3 d'
_symmetry_Int_Tables_number 230
_symmetry_space_group_name_Hall '-I 4bd 2c 3'
_cell_length_a 12.7605
_cell_length_b 12.7605
_cell_length_c 12.7605
_cell_angle_alpha 90.00
_cell_angle_beta 90.00
_cell_angle_gamma 90.00
loop_
_atom_site_label
_atom_site_type_symbol
_atom_site_fract_x
_atom_site_fract_y
_atom_site_fract_z
_atom_site_occupancy
Pa1 Pa 0.0000 0.2500 0.1250 1
In1 In 0.0000 0.0000 0.0000 1
In2 In 0.0000 0.2500 0.3750 1
H1 H 0.0072 0.0846 0.1617 1
```



No. 8
A relaxed structure of Pa2InH8. Source: Alexandria via LeMat-Bulk, functional PBE-GGA.

Computed properties:
Crystal system ... orthorhombic
Total magnetization ... 3.4 μB/cell
ρ ... 8.74 g cm⁻³
Raw total energy ... -4.532 eV per atom

CIF file:
```
data_Pa2InH8
_symmetry_space_group_name_H-M 'I m m m'
_symmetry_Int_Tables_number 71
_symmetry_space_group_name_Hall '-I 2 2'
_cell_length_a 3.4659
_cell_length_b 6.1188
_cell_length_c 10.4790
_cell_angle_alpha 90.00
_cell_angle_beta 90.00
_cell_angle_gamma 90.00
loop_
_atom_site_label
_atom_site_type_symbol
_atom_site_fract_x
_atom_site_fract_y
_atom_site_fract_z
_atom_site_occupancy
Pa1 Pa 0.0000 0.0000 0.1834 1
In1 In 0.0000 0.0000 0.5000 1
H1 H 0.0000 0.1761 0.0000 1
H2 H 0.0000 0.2660 0.3297 1
H3 H 0.0000 0.5000 0.1830 1
```